w:
VASP calculation (PBE) on an optimized crystal structure of LaY3Al.

Values from the calculation:
M_tot: 0.00 μB per formula unit
Calculated volume: 35.1 Å³/atom

Cell and atoms, written as CIF:
```
data_LaY3Al
_chemical_formula_sum 'La1 Y3 Al1'
_cell_length_a 5.598
_cell_length_b 5.598
_cell_length_c 5.598
_cell_angle_alpha 90.00
_cell_angle_beta 90.00
_cell_angle_gamma 90.00
_space_group_name_H-M_alt 'P m -3 m'
_space_group_IT_number 221
_space_group_name_Hall '-P 4 2 3'
loop_
_atom_site_label
_atom_site_type_symbol
_atom_site_fract_x
_atom_site_fract_y
_atom_site_fract_z
La1 La 0.000 0.000 0.000
Y1 Y 0.000 0.500 0.500
Al1 Al 0.500 0.500 0.500
```


x:
VASP calculation (PBE) on an optimized crystal structure of LaY3Al.

Values from the calculation:
M_tot: 0.00 μB per formula unit
Calculated volume: 34.1 Å³/atom

Cell and atoms, written as CIF:
```
data_LaY3Al
_chemical_formula_sum 'La1 Y3 Al1'
_cell_length_a 5.543
_cell_length_b 5.543
_cell_length_c 5.543
_cell_angle_alpha 90.00
_cell_angle_beta 90.00
_cell_angle_gamma 90.00
_space_group_name_H-M_alt 'P m -3 m'
_space_group_IT_number 221
_space_group_name_Hall '-P 4 2 3'
loop_
_atom_site_label
_atom_site_type_symbol
_atom_site_fract_x
_atom_site_fract_y
_atom_site_fract_z
La1 La 0.000 0.000 0.000
Y1 Y 0.000 0.000 0.500
Al1 Al 0.500 0.500 0.500
```


y:
VASP calculation (PBE) on an optimized crystal structure of LaY3Al.

Values from the calculation:
M_tot: 0.00 μB per formula unit
Calculated volume: 30.1 Å³/atom

Cell and atoms, written as CIF:
```
data_LaY3Al
_chemical_formula_sum 'La2 Y6 Al2'
_cell_length_a 3.687
_cell_length_b 8.751
_cell_length_c 9.792
_cell_angle_alpha 104.15
_cell_angle_beta 100.85
_cell_angle_gamma 90.02
_space_group_name_H-M_alt 'P -1'
_space_group_IT_number 2
_space_group_name_Hall '-P 1'
loop_
_atom_site_label
_atom_site_type_symbol
_atom_site_fract_x
_atom_site_fract_y
_atom_site_fract_z
La1 La 0.101 0.048 0.201
Y1 Y 0.301 0.192 0.602
Y2 Y 0.316 0.612 0.631
Y3 Y 0.499 0.294 0.999
Al1 Al 0.097 0.560 0.195
```


Relative energies, meV per atom: w 354; x 1079; y 0.


w:
VASP calculation (PBE) on an optimized crystal structure of LaYAl.

Values from the calculation:
M_tot: 0.00 μB per formula unit
Calculated volume: 29.1 Å³/atom

Cell and atoms, written as CIF:
```
data_LaYAl
_chemical_formula_sum 'La2 Y2 Al2'
_cell_length_a 3.547
_cell_length_b 3.547
_cell_length_c 13.895
_cell_angle_alpha 90.00
_cell_angle_beta 90.00
_cell_angle_gamma 90.00
_space_group_name_H-M_alt 'I 4 m m'
_space_group_IT_number 107
_space_group_name_Hall 'I 4 -2'
loop_
_atom_site_label
_atom_site_type_symbol
_atom_site_fract_x
_atom_site_fract_y
_atom_site_fract_z
La1 La 0.000 0.000 0.000
Y1 Y 0.000 0.000 0.288
Al1 Al 0.000 0.000 0.653
```


x:
VASP calculation (PBE) on an optimized crystal structure of LaYAl.

Values from the calculation:
M_tot: 0.00 μB per formula unit
Calculated volume: 28.0 Å³/atom

Cell and atoms, written as CIF:
```
data_LaYAl
_chemical_formula_sum 'La2 Y2 Al2'
_cell_length_a 3.537
_cell_length_b 4.394
_cell_length_c 10.821
_cell_angle_alpha 90.00
_cell_angle_beta 90.00
_cell_angle_gamma 90.00
_space_group_name_H-M_alt 'I m m 2'
_space_group_IT_number 44
_space_group_name_Hall 'I 2 -2'
loop_
_atom_site_label
_atom_site_type_symbol
_atom_site_fract_x
_atom_site_fract_y
_atom_site_fract_z
La1 La 0.000 0.000 0.000
Y1 Y 0.000 0.000 0.708
Al1 Al 0.000 0.000 0.338
```


y:
VASP calculation (PBE) on an optimized crystal structure of LaYAl.

Values from the calculation:
M_tot: 0.02 μB per formula unit
Calculated volume: 32.7 Å³/atom

Cell and atoms, written as CIF:
```
data_LaYAl
_chemical_formula_sum 'La4 Y4 Al4'
_cell_length_a 7.319
_cell_length_b 7.319
_cell_length_c 7.319
_cell_angle_alpha 90.00
_cell_angle_beta 90.00
_cell_angle_gamma 90.00
_space_group_name_H-M_alt 'F -4 3 m'
_space_group_IT_number 216
_space_group_name_Hall 'F -4 2 3'
loop_
_atom_site_label
_atom_site_type_symbol
_atom_site_fract_x
_atom_site_fract_y
_atom_site_fract_z
La1 La 0.000 0.000 0.000
Y1 Y 0.000 0.000 0.500
Al1 Al 0.250 0.250 0.750
```


z:
VASP calculation (PBE) on an optimized crystal structure of LaYAl.

Values from the calculation:
M_tot: 0.79 μB per formula unit
Calculated volume: 30.6 Å³/atom

Cell and atoms, written as CIF:
```
data_LaYAl
_chemical_formula_sum 'La4 Y4 Al4'
_cell_length_a 6.746
_cell_length_b 6.746
_cell_length_c 8.073
_cell_angle_alpha 90.00
_cell_angle_beta 90.29
_cell_angle_gamma 90.00
_space_group_name_H-M_alt 'C 1 2/m 1'
_space_group_IT_number 12
_space_group_name_Hall '-C 2y'
loop_
_atom_site_label
_atom_site_type_symbol
_atom_site_fract_x
_atom_site_fract_y
_atom_site_fract_z
La1 La 0.248 0.000 0.145
Y1 Y 0.000 0.250 0.500
Al1 Al 0.248 0.500 0.251
```


Relative energies, meV per atom: w 0; x 24; y 172; z 14.


w:
VASP calculation (PBE) on an optimized crystal structure of LaYAl.

Values from the calculation:
M_tot: 0.00 μB per formula unit
Calculated volume: 28.4 Å³/atom

Cell and atoms, written as CIF:
```
data_LaYAl
_chemical_formula_sum 'La2 Y2 Al2'
_cell_length_a 5.4160
_cell_length_b 5.4160
_cell_length_c 6.7132
_cell_angle_alpha 90.00
_cell_angle_beta 90.00
_cell_angle_gamma 120.00
_space_group_name_H-M_alt 'P 63/m m c'
_space_group_IT_number 194
_space_group_name_Hall '-P 6c 2c'
loop_
_atom_site_label
_atom_site_type_symbol
_atom_site_fract_x
_atom_site_fract_y
_atom_site_fract_z
La1 La 0.0000 0.0000 0.0000
Y1 Y 0.3333 0.6667 0.2500
Al1 Al 0.3333 0.6667 0.7500
```


x:
VASP calculation (PBE) on an optimized crystal structure of LaYAl.

Values from the calculation:
M_tot: 0.00 μB per formula unit
Calculated volume: 28.6 Å³/atom

Cell and atoms, written as CIF:
```
data_LaYAl
_chemical_formula_sum 'La1 Y1 Al1'
_cell_length_a 5.1620
_cell_length_b 5.1620
_cell_length_c 3.7220
_cell_angle_alpha 90.00
_cell_angle_beta 90.00
_cell_angle_gamma 120.00
_space_group_name_H-M_alt 'P 3 m 1'
_space_group_IT_number 156
_space_group_name_Hall 'P 3 -2"'
loop_
_atom_site_label
_atom_site_type_symbol
_atom_site_fract_x
_atom_site_fract_y
_atom_site_fract_z
La1 La 0.0000 0.0000 0.0000
Y1 Y 0.6667 0.3333 0.4276
Al1 Al 0.3333 0.6667 0.6413
```


Relative energies, meV per atom: w 0; x 93.


w:
VASP calculation (PBE) on an optimized crystal structure of LaYAl3.

Values from the calculation:
M_tot: 0.00 μB per formula unit
Calculated volume: 30.2 Å³/atom

Cell and atoms, written as CIF:
```
data_LaYAl3
_chemical_formula_sum 'La1 Y1 Al3'
_cell_length_a 5.327
_cell_length_b 5.327
_cell_length_c 5.327
_cell_angle_alpha 90.00
_cell_angle_beta 90.00
_cell_angle_gamma 90.00
_space_group_name_H-M_alt 'P m -3 m'
_space_group_IT_number 221
_space_group_name_Hall '-P 4 2 3'
loop_
_atom_site_label
_atom_site_type_symbol
_atom_site_fract_x
_atom_site_fract_y
_atom_site_fract_z
La1 La 0.000 0.000 0.000
Y1 Y 0.500 0.500 0.500
Al1 Al 0.000 0.500 0.500
```


x:
VASP calculation (PBE) on an optimized crystal structure of LaYAl3.

Values from the calculation:
M_tot: 0.00 μB per formula unit
Calculated volume: 25.4 Å³/atom

Cell and atoms, written as CIF:
```
data_LaYAl3
_chemical_formula_sum 'La4 Y4 Al12'
_cell_length_a 4.295
_cell_length_b 26.833
_cell_length_c 4.399
_cell_angle_alpha 90.00
_cell_angle_beta 90.00
_cell_angle_gamma 90.00
_space_group_name_H-M_alt 'C m c m'
_space_group_IT_number 63
_space_group_name_Hall '-C 2c 2'
loop_
_atom_site_label
_atom_site_type_symbol
_atom_site_fract_x
_atom_site_fract_y
_atom_site_fract_z
La1 La 0.000 0.074 0.250
Y1 Y 0.000 0.206 0.750
Al1 Al 0.000 0.324 0.750
Al2 Al 0.000 0.379 0.250
Al3 Al 0.000 0.476 0.250
```


Relative energies, meV per atom: w 898; x 0.


w:
VASP calculation (PBE) on an optimized crystal structure of La2Al5Zn3.

Values from the calculation:
M_tot: 0.00 μB per formula unit
Calculated volume: 20.5 Å³/atom

Cell and atoms, written as CIF:
```
data_La2Al5Zn3
_chemical_formula_sum 'La2 Al5 Zn3'
_cell_length_a 4.352
_cell_length_b 4.352
_cell_length_c 10.795
_cell_angle_alpha 90.00
_cell_angle_beta 90.00
_cell_angle_gamma 90.00
_space_group_name_H-M_alt 'P -4 m 2'
_space_group_IT_number 115
_space_group_name_Hall 'P -4 -2'
loop_
_atom_site_label
_atom_site_type_symbol
_atom_site_fract_x
_atom_site_fract_y
_atom_site_fract_z
La1 La 0.000 0.500 0.249
Al1 Al 0.000 0.000 0.500
Al2 Al 0.000 0.500 0.644
Al3 Al 0.500 0.500 0.000
Al4 Al 0.500 0.500 0.500
Zn1 Zn 0.000 0.000 0.000
Zn2 Zn 0.000 0.500 0.874
```


x:
VASP calculation (PBE) on an optimized crystal structure of La2Al5Zn3.

Values from the calculation:
M_tot: 0.00 μB per formula unit
Calculated volume: 20.3 Å³/atom

Cell and atoms, written as CIF:
```
data_La2Al5Zn3
_chemical_formula_sum 'La8 Al20 Zn12'
_cell_length_a 10.943
_cell_length_b 12.199
_cell_length_c 6.083
_cell_angle_alpha 90.00
_cell_angle_beta 90.00
_cell_angle_gamma 90.00
_space_group_name_H-M_alt 'I b a m'
_space_group_IT_number 72
_space_group_name_Hall '-I 2 2c'
loop_
_atom_site_label
_atom_site_type_symbol
_atom_site_fract_x
_atom_site_fract_y
_atom_site_fract_z
La1 La 0.248 0.126 0.000
Al1 Al 0.000 0.256 0.250
Al2 Al 0.000 0.500 0.250
Al3 Al 0.134 0.123 0.500
Zn1 Zn 0.000 0.000 0.250
Zn2 Zn 0.137 0.378 0.000
```


Relative energies, meV per atom: w 32; x 0.


w:
VASP calculation (PBE) on an optimized crystal structure of La2AlZn3.

Values from the calculation:
M_tot: 0.00 μB per formula unit
Calculated volume: 23.6 Å³/atom

Cell and atoms, written as CIF:
```
data_La2AlZn3
_chemical_formula_sum 'La16 Al8 Zn24'
_cell_length_a 7.639
_cell_length_b 9.272
_cell_length_c 16.007
_cell_angle_alpha 90.00
_cell_angle_beta 90.00
_cell_angle_gamma 90.00
_space_group_name_H-M_alt 'F m m m'
_space_group_IT_number 69
_space_group_name_Hall '-F 2 2'
loop_
_atom_site_label
_atom_site_type_symbol
_atom_site_fract_x
_atom_site_fract_y
_atom_site_fract_z
La1 La 0.233 0.000 0.000
La2 La 0.250 0.250 0.250
Al1 Al 0.000 0.000 0.336
Zn1 Zn 0.000 0.000 0.169
Zn2 Zn 0.000 0.244 0.417
```


x:
VASP calculation (PBE) on an optimized crystal structure of La2AlZn3.

Values from the calculation:
M_tot: 0.00 μB per formula unit
Calculated volume: 24.2 Å³/atom

Cell and atoms, written as CIF:
```
data_La2AlZn3
_chemical_formula_sum 'La4 Al2 Zn6'
_cell_length_a 4.080
_cell_length_b 4.476
_cell_length_c 15.916
_cell_angle_alpha 90.00
_cell_angle_beta 90.00
_cell_angle_gamma 90.00
_space_group_name_H-M_alt 'I m m 2'
_space_group_IT_number 44
_space_group_name_Hall 'I 2 -2'
loop_
_atom_site_label
_atom_site_type_symbol
_atom_site_fract_x
_atom_site_fract_y
_atom_site_fract_z
La1 La 0.000 0.000 0.000
La2 La 0.000 0.500 0.249
Al1 Al 0.000 0.000 0.584
Zn1 Zn 0.000 0.000 0.419
Zn2 Zn 0.000 0.500 0.665
Zn3 Zn 0.000 0.500 0.829
```


Relative energies, meV per atom: w 0; x 34.